KLi2Pt2 (meta-GGA SCAN, PBEsol geometry); V = 17.11 Å³ per atom; DOS at the Fermi energy = 6.73 states/eV/cell; formation enthalpy at 0 K = -9.01 kcal/mol of atoms; VASP energy = -31.09 eV/atom; crystal system = tetragonal
1.0
-1.771 -0.675 -1.874
-3.437 -5.137 5.100
-4.905 5.805 2.542
K Pt Li
2 4 4
direct
0.000 0.000 0.000
0.000 0.500 0.500
0.500 0.163 0.663
0.500 0.663 0.837
0.500 0.837 0.337
0.500 0.337 0.163
0.000 0.375 0.875
0.000 0.875 0.625
0.000 0.625 0.125
0.000 0.125 0.375